No. 1
A plane-wave DFT calculation with PBE was carried out for a relaxed TbPaGaPt crystal.

```
TbPaGaPt
1.0
0.0000 3.5526 3.5526
3.5526 0.0000 3.5526
3.5526 3.5526 0.0000
Tb Pa Ga Pt
1 1 1 1
Direct
0.0000 0.0000 0.0000
0.5000 0.5000 0.5000
0.2500 0.2500 0.2500
0.7500 0.7500 0.7500
```

M_tot ... 0.84 μB per cell
Calculated total energy ... -6.3370 eV per atom
Space group ... F-43m, No. 216

No. 2
A plane-wave DFT calculation with PBE was carried out for a relaxed ZrCd2Re crystal.

```
ZrCd2Re
1.0
2.8729 0.0000 0.0000
0.0000 4.6786 0.0000
-0.6888 0.0000 5.7352
Zr Cd Re
1 2 1
Direct
0.0000 0.0000 0.0000
0.5739 0.0000 0.5198
0.5844 0.5000 0.2571
0.2205 0.5000 0.7622
```

M_tot ... 0.00 μB per cell
Calculated total energy ... -5.4467 eV per atom
Space group ... Pm, No. 6